[1]
DFT (GGA-PBE) results for K2Ti4O9 after structural relaxation.

VASP energy ... -8.070 eV per atom
SG ... C2/m
Crystal system ... monoclinic

a = 9.538 Å, b = 9.538 Å, c = 12.161 Å
α = 106.59°, β = 106.59°, γ = 23.02°
Fractional positions:
K 0.021 0.021 0.334
K 0.084 0.084 0.084
K 0.916 0.916 0.916
K 0.979 0.979 0.666
Ti 0.254 0.254 0.833
Ti 0.297 0.297 0.604
Ti 0.338 0.338 0.377
Ti 0.378 0.378 0.139
Ti 0.622 0.622 0.861
Ti 0.662 0.662 0.623
Ti 0.703 0.703 0.396
Ti 0.746 0.746 0.167
O 0.151 0.151 0.856
O 0.192 0.192 0.640
O 0.230 0.230 0.421
O 0.267 0.267 0.200
O 0.317 0.317 0.973
O 0.338 0.338 0.758
O 0.378 0.378 0.539
O 0.415 0.415 0.318
O 0.466 0.466 0.121
O 0.534 0.534 0.879
O 0.585 0.585 0.682
O 0.622 0.622 0.461
O 0.662 0.662 0.242
O 0.683 0.683 0.027
O 0.733 0.733 0.800
O 0.770 0.770 0.579
O 0.808 0.808 0.360
O 0.849 0.849 0.144

[2]
DFT (GGA-PBE) results for PrDyPa after structural relaxation.

VASP energy ... -6.128 eV per atom
SG ... P3m1
Crystal system ... trigonal
Energy above the most stable polymorph in this dataset ... 0.000 eV per atom

a = 3.461 Å, b = 3.461 Å, c = 8.719 Å
α = 90.00°, β = 90.00°, γ = 120.00°
Fractional positions:
Pr 0.000 0.000 0.000
Dy 0.333 0.667 0.634
Pa 0.667 0.333 0.323